## A
First-principles (PBE-GGA) data for a geometry-optimized Ta2MnOs structure, as listed in the Alexandria database.

Lattice parameters (Å, degrees): 8.3326 8.3326 8.3326 20.70 20.70 20.70
Each line ends with the local moment (μB).
Sites, in units of the cell vectors:
Ta1 0.9956 0.9956 0.9956  -0.06
Ta2 0.5044 0.5044 0.5044  -0.06
Mn1 0.2500 0.2500 0.2500  0.48
Os1 0.7500 0.7500 0.7500  -0.05

Results
For the mass density, the calculation gives 15.932 g cm⁻³.



## B
First-principles (PBE-GGA) data for a geometry-optimized Ta2MnOs structure, as listed in the Alexandria database.

Lattice parameters (Å, degrees): 3.8906 3.8906 9.6397 78.36 78.36 90.00
Each line ends with the local moment (μB).
Sites, in units of the cell vectors:
Ta1 0.8750 0.8738 0.7500  -0.06
Os1 0.0000 0.0000 0.0000  0.08
Mn1 0.5000 0.5000 0.0000  3.03
Ta2 0.6238 0.1250 0.2500  -0.07
Ta3 0.3750 0.3762 0.7500  -0.06
Os2 0.7500 0.2500 0.5000  0.07
Mn2 0.2500 0.7500 0.5000  3.02
Ta4 0.1262 0.6250 0.2500  -0.07

Results
For the mass density, the calculation gives 14.417 g cm⁻³.



Name the most stable of them. A.



## A
First-principles (PBE-GGA) data for a geometry-optimized Ta3MnOs structure, as listed in the Alexandria database.

Lattice parameters (Å, degrees): 4.8003 4.8003 4.8003 90.00 90.00 90.00
Sites, in units of the cell vectors:
Mn1 0.5000 0.5000 0.5000
Ta1 0.0000 0.0000 0.5000
Os1 0.0000 0.0000 0.0000
Ta2 0.0000 0.5000 0.0000
Ta3 0.5000 0.0000 0.0000

Results
For the mass density, the calculation gives 11.830 g cm⁻³.



## B
First-principles (PBE-GGA) data for a geometry-optimized Ta3MnOs structure, as listed in the Alexandria database.

Lattice parameters (Å, degrees): 4.4959 4.4959 4.4959 90.00 90.00 90.00
Sites, in units of the cell vectors:
Os1 0.5000 0.5000 0.5000
Ta1 0.0000 0.5000 0.0000
Ta2 0.0000 0.0000 0.5000
Mn1 0.0000 0.0000 0.0000
Ta3 0.5000 0.0000 0.0000

Results
For the mass density, the calculation gives 14.399 g cm⁻³.



Name the most stable of them. B.



## A
First-principles (PBE-GGA) data for a geometry-optimized Ta4MnOs structure, as listed in the Alexandria database.

Lattice parameters (Å, degrees): 4.2879 4.2888 6.1504 89.90 89.95 90.00
Sites, in units of the cell vectors:
Ta1 0.5011 0.9968 0.2581
Ta2 0.0011 0.4970 0.2581
Mn1 0.0013 0.9972 0.4981
Ta3 0.5014 0.9978 0.7381
Os1 0.5013 0.4973 0.9981
Ta4 0.0015 0.4976 0.7381

Results
For the mass density, the calculation gives 14.226 g cm⁻³.



## B
First-principles (PBE-GGA) data for a geometry-optimized Ta4MnOs structure, as listed in the Alexandria database.

Lattice parameters (Å, degrees): 5.3265 5.3265 5.3265 60.00 60.00 60.00
Each line ends with the local moment (μB).
Sites, in units of the cell vectors:
Mn1 0.7500 0.7500 0.7500  3.53
Ta1 0.8762 0.3746 0.3746  -0.06
Ta2 0.3746 0.3746 0.8762  -0.06
Ta3 0.3746 0.3746 0.3746  -0.06
Os1 0.0000 0.0000 0.0000  0.34
Ta4 0.3746 0.8762 0.3746  -0.06

Results
For the mass density, the calculation gives 15.057 g cm⁻³.



Name the most stable of them. A.